Density functional theory data (PBE) for a geometry-optimized CaAl3Br structure.

The calculation puts the total moment at 0.0 μB per cell. As for the total energy: -2.507 eV per atom. The space group is Pm-3m, No. 221.

Unit cell a=5.315 b=5.315 c=5.315 alpha=90.00 beta=90.00 gamma=90.00
Positions (direct):
Ca 0.000 0.000 0.000
Al 0.000 0.500 0.500
Al 0.500 0.000 0.500
Al 0.500 0.500 0.000
Br 0.500 0.500 0.500